1.
Cd2TcW, optimized geometry, DFT PBE-GGA; spin magnetization = 0.00 μB/f.u.; formation enthalpy at 0 K = 0.259 eV/atom
1.0
-1.7381 -2.5545 0.3477
2.5417 -1.6278 0.7464
-1.0564 1.7185 7.3453
Cd W Tc
2 1 1
Direct
0.5000 0.5000 0.2710
0.0000 0.0000 0.9839
0.5000 0.5000 0.7115
0.0000 0.0000 0.5337

2.
Ac4PIrBr2, optimized geometry, DFT PBE-GGA; spin magnetization = 0.00 μB/f.u.; formation energy from raw total energies = -1.262 eV/atom
1.0
-0.3298 0.7354 -4.2278
-6.5745 -4.5089 -0.2714
-2.4626 7.7746 1.5444
Br Ac Ir P
2 4 1 1
Direct
0.5000 0.0000 0.5000
0.0000 0.5000 0.5000
0.5000 0.7597 0.7946
0.5000 0.2403 0.2054
0.0000 0.2838 0.8043
0.0000 0.7162 0.1957
0.5000 0.5000 0.0000
0.0000 0.0000 0.0000

3.
NbRuRh6, optimized geometry, DFT PBE-GGA; spin magnetization = 2.69 μB/f.u.; formation enthalpy at 0 K = 0.567 eV/atom
1.0
-1.8358 -4.7812 0.6706
0.9972 -1.4247 -4.8637
4.6276 -1.9721 1.1729
Rh Nb Ru
6 1 1
Direct
0.8370 0.4561 0.8370
0.1630 0.1630 0.5439
0.1630 0.5439 0.1630
0.8370 0.8370 0.4561
0.5439 0.1630 0.1630
0.4561 0.8370 0.8370
0.5000 0.5000 0.5000
0.0000 0.0000 0.0000

4.
CaSbPt4, optimized geometry, DFT PBE-GGA; spin magnetization = 0.00 μB/f.u.; formation energy from raw total energies = -0.531 eV/atom
1.0
5.2351 -1.0418 0.9792
1.4332 -2.7424 4.4582
1.8824 -5.0723 -0.4224
Pt Ca Sb
4 1 1
Direct
0.3750 0.3750 0.8749
0.8749 0.3750 0.3750
0.3750 0.8749 0.3750
0.3750 0.3750 0.3750
0.0000 0.0000 0.0000
0.7500 0.7500 0.7500

5.
BaPm2Tl2Ag2, optimized geometry, DFT PBE-GGA; spin magnetization = 0.00 μB/f.u.; formation enthalpy at 0 K = -0.238 eV/atom
1.0
5.0624 0.0000 0.0000
2.5312 4.3842 0.0000
2.5312 1.4614 9.7773
Ag Tl Ba Pm
2 2 1 2
Direct
0.5809 0.5809 0.2573
0.4191 0.4191 0.7427
0.2491 0.2491 0.2527
0.7509 0.7509 0.7473
0.0000 0.0000 0.0000
0.8715 0.8715 0.3856
0.1285 0.1285 0.6144

6.
LiMgRh2, optimized geometry, DFT PBE-GGA; spin magnetization = 0.00 μB/f.u.; formation enthalpy at 0 K = -0.190 eV/atom
1.0
4.7932 -0.0049 0.0000
1.7354 4.4680 0.0000
-3.2643 -2.2316 2.7091
Rh Li Mg
2 1 1
Direct
0.0000 0.0000 0.0000
0.5000 0.5000 0.0000
0.2500 0.7500 0.5000
0.7500 0.2500 0.5000

7.
Ac2PmPr3Se6, optimized geometry, DFT PBE-GGA; spin magnetization = 0.00 μB/f.u.; formation energy from raw total energies = -1.844 eV/atom
1.0
7.4973 -0.0133 -0.0051
-3.7583 6.4873 -0.0051
-1.2524 -2.1685 7.0543
Ac Se Pr Pm
2 6 3 1
Direct
0.6657 0.3343 0.0000
0.3343 0.6657 0.0000
0.0840 0.4087 0.2539
0.4087 0.0840 0.2539
0.5913 0.9160 0.7461
0.9160 0.5913 0.7461
0.7628 0.7628 0.2588
0.2372 0.2372 0.7412
0.5000 0.5000 0.5000
0.8297 0.1703 0.5000
0.1703 0.8297 0.5000
0.0000 0.0000 0.0000

8.
Y2MnGe, optimized geometry, DFT PBE-GGA; spin magnetization = 0.22 μB/f.u.; formation enthalpy at 0 K = -0.359 eV/atom
1.0
8.2454 0.0000 0.0000
0.0000 4.0457 0.0000
0.0000 0.0000 5.3860
Mn Ge Y
2 2 4
Direct
0.5000 0.0000 0.4390
0.5000 0.5000 0.2393
0.0000 0.0000 0.7172
0.5000 0.0000 0.9335
0.1973 0.0000 0.2193
0.7277 0.5000 0.7152
0.8027 0.0000 0.2193
0.2723 0.5000 0.7152

| no. | calculated total energy (eV for the cell shown) |
| --- | --- |
| 1 | -24.11 |
| 2 | -44.14 |
| 3 | -58.91 |
| 4 | -33.47 |
| 5 | -23.53 |
| 6 | -18.97 |
| 7 | -70.34 |
| 8 | -56.30 |